# Zn3Si2

A relaxed structure of Zn3Si2 (PBE, the Alexandria database).

Cell lengths 3.891, 3.891, 6.566 Å; angles 90.00, 90.00, 120.00 degrees
Element x y z (fractional)
Zn 0.000 0.000 0.000
Zn 0.667 0.333 0.609
Zn 0.333 0.667 0.391
Si 0.667 0.333 0.211
Si 0.333 0.667 0.789

The calculation puts the density of states at the Fermi level at 2.8 states/eV/f.u. The value obtained for the energy above the most stable polymorph in this dataset is 54 meV per atom. The space group is No. 164. For the total energy, the calculation gives -13.202 eV for the cell shown.